Below is a relaxed Ac2Al4Hg3Ge crystal, with properties calculated at the GGA-PBE level.

Cell: 4.685 4.685 10.825 Å, 90.00 90.00 90.00°
Space group P-4m2 (No. 115)
Inequivalent atoms, fractional coordinates:
Ac1 0.000 0.500 0.248
Al1 0.000 0.000 0.500
Al2 0.000 0.500 0.875
Al3 0.500 0.500 0.500
Hg1 0.000 0.000 0.000
Hg2 0.000 0.500 0.633
Ge1 0.500 0.500 0.000

Calculated values
final energy	-3.24	eV/atom